Entry A
# LiYN2F

A relaxed LiYN2F crystal (PBE, Alexandria via LeMat-Bulk).

Summary:
The magnetization comes out at 0.000 μB/atom. The space group is P4/mmm, No. 123. As for the calculated volume: 51.7 Å³/cell.

abc: 3.642 3.642 3.899
angles: 90.00 90.00 90.00
Fractional coordinates of all 5 atoms:
Y: 0.500 0.500 0.500
N: 0.000 0.500 0.000
N: 0.500 0.000 0.000
Li: 0.000 0.000 0.000
F: 0.000 0.000 0.500

***

Entry B
# LiYN2F

A relaxed LiYN2F crystal (PBE, Alexandria via LeMat-Bulk).

Summary:
The magnetization comes out at 0.600 μB/atom. The space group is P4/mmm, No. 123. As for the calculated volume: 91.3 Å³/cell.

abc: 4.547 4.547 4.415
angles: 90.00 90.00 90.00
Fractional coordinates of all 5 atoms:
Y: 0.000 0.000 0.000
N: 0.000 0.500 0.000
N: 0.500 0.000 0.000
Li: 0.500 0.500 0.500
F: 0.000 0.000 0.500

***

Verdict on stability: entry B comes out at the bottom.